Entry 1:
First-principles (PBEsol) data for Ba3ReCl after structural relaxation, as listed in the Alexandria database.

Geometry as POSCAR:
```
Ba3ReCl
1.0
5.7844 0.0000 0.0000
0.0000 5.7844 0.0000
0.0000 0.0000 5.7844
Ba Re Cl
3 1 1
Direct
0.0000 0.0000 0.5000
0.0000 0.5000 0.0000
0.5000 0.0000 0.0000
0.5000 0.5000 0.5000
0.0000 0.0000 0.0000
```

Values from the calculation:
Total magnetization: 1.79 μB per formula unit
Uncorrected formation energy: 453 meV per atom
Calculated density: 5.44 g/cm3

Entry 2:
First-principles (PBEsol) data for Mg2ZnCu after structural relaxation, as listed in the Alexandria database.

Geometry as POSCAR:
```
Mg2ZnCu
1.0
3.1634 0.0000 0.0000
0.0000 3.1634 0.0000
0.0000 0.0000 6.3913
Mg Zn Cu
2 1 1
Direct
0.0000 0.0000 0.2374
0.0000 0.0000 0.7626
0.5000 0.5000 0.5000
0.5000 0.5000 0.0000
```

Values from the calculation:
Total magnetization: 0.00 μB per formula unit
Calculated density: 4.61 g/cm3
Energy relative to the elements: -69 meV per atom

Entry 3:
First-principles (PBEsol) data for Te2OsPtN after structural relaxation, as listed in the Alexandria database.

Geometry as POSCAR:
```
Te2OsPtN
1.0
5.2585 0.0000 0.0000
0.0000 5.2585 0.0000
0.0000 0.0000 3.5997
Te Os Pt N
2 1 1 1
Direct
0.0000 0.5000 0.0000
0.5000 0.0000 0.0000
0.0000 0.0000 0.0000
0.5000 0.5000 0.5000
0.0000 0.0000 0.5000
```

Values from the calculation:
Total magnetization: 0.00 μB per formula unit
Uncorrected formation energy: 531 meV per atom
Calculated density: 10.92 g/cm3

Entry 4:
First-principles (PBEsol) data for SbC5 after structural relaxation, as listed in the Alexandria database.

Geometry as POSCAR:
```
SbC5
1.0
3.2952 0.0000 0.0000
0.0000 3.2952 0.0000
0.0000 0.0000 5.9263
Sb C
1 5
Direct
0.0000 0.0000 0.0000
0.0000 0.0000 0.3869
0.0000 0.0000 0.6131
0.5000 0.5000 0.2726
0.5000 0.5000 0.5000
0.5000 0.5000 0.7274
```

Values from the calculation:
Total magnetization: 0.00 μB per formula unit
Uncorrected formation energy: 2405 meV per atom
Calculated density: 4.69 g/cm3

Entry 5:
First-principles (PBEsol) data for SrReMo2 after structural relaxation, as listed in the Alexandria database.

Geometry as POSCAR:
```
SrReMo2
1.0
1.6158 -2.2802 0.0000
1.6158 2.2802 0.0000
0.0000 0.0000 9.7525
Sr Re Mo
1 1 2
Direct
0.0000 0.0000 0.0000
0.0000 0.0000 0.5000
0.5000 0.5000 0.2885
0.5000 0.5000 0.7115
```

Values from the calculation:
Energy above the most stable polymorph in this dataset: 0 meV/atom
Total magnetization: 0.00 μB per formula unit
Calculated density: 10.76 g/cm3
Energy relative to the elements: 755 meV per atom

Entry 6:
First-principles (PBEsol) data for MnAl3C after structural relaxation, as listed in the Alexandria database.

Geometry as POSCAR:
```
MnAl3C
1.0
4.4473 0.0000 0.0000
0.0000 4.4473 0.0000
0.0000 0.0000 4.4473
Mn Al C
1 3 1
Direct
0.0000 0.0000 0.0000
0.0000 0.0000 0.5000
0.0000 0.5000 0.0000
0.5000 0.0000 0.0000
0.5000 0.5000 0.5000
```

Values from the calculation:
Total magnetization: 1.25 μB per formula unit
Calculated density: 2.79 g/cm3
Energy relative to the elements: 1603 meV per atom

Entry 7:
First-principles (PBEsol) data for TcRu after structural relaxation, as listed in the Alexandria database.

Geometry as POSCAR:
```
TcRu
1.0
2.7057 0.0000 0.0000
-1.3528 2.3432 0.0000
0.0000 0.0000 4.2847
Tc Ru
1 1
Direct
0.0000 0.0000 0.0000
0.6667 0.3333 0.5000
```

Values from the calculation:
Energy above the most stable polymorph in this dataset: 12 meV/atom
Total magnetization: 0.00 μB per formula unit
Calculated density: 12.17 g/cm3
Energy relative to the elements: -62 meV per atom

Entry 8:
First-principles (PBEsol) data for Tl2PtCl6 after structural relaxation, as listed in the Alexandria database.

Geometry as POSCAR:
```
Tl2PtCl6
1.0
0.0000 4.8226 4.8226
4.8226 0.0000 4.8226
4.8226 4.8226 0.0000
Tl Pt Cl
2 1 6
Direct
0.2500 0.2500 0.2500
0.7500 0.7500 0.7500
0.0000 0.0000 0.0000
0.2396 0.2396 0.7604
0.2396 0.7604 0.2396
0.2396 0.7604 0.7604
0.7604 0.2396 0.2396
0.7604 0.2396 0.7604
0.7604 0.7604 0.2396
```

Values from the calculation:
Total magnetization: 0.00 μB per formula unit
Uncorrected formation energy: -758 meV per atom
Calculated density: 6.04 g/cm3

Entry 9:
First-principles (PBEsol) data for Y3In after structural relaxation, as listed in the Alexandria database.

Geometry as POSCAR:
```
Y3In
1.0
-2.3402 2.3402 4.9737
2.3402 -2.3402 4.9737
2.3402 2.3402 -4.9737
Y In
3 1
Direct
0.0000 0.0000 0.0000
0.2500 0.7500 0.5000
0.7500 0.2500 0.5000
0.5000 0.5000 0.0000
```

Values from the calculation:
Total magnetization: 0.00 μB per formula unit
Calculated density: 5.81 g/cm3
Energy relative to the elements: -279 meV per atom

Entry 10:
First-principles (PBEsol) data for Cd2SnHO after structural relaxation, as listed in the Alexandria database.

Geometry as POSCAR:
```
Cd2SnHO
1.0
3.9394 0.0000 0.0000
0.0000 3.9394 0.0000
0.0000 0.0000 5.4805
Cd Sn H O
2 1 1 1
Direct
0.0000 0.5000 0.0000
0.5000 0.0000 0.0000
0.0000 0.0000 0.5000
0.0000 0.0000 0.0000
0.5000 0.5000 0.5000
```

Values from the calculation:
Energy: -0.2004 Ry/atom
Total magnetization: 0.00 μB per formula unit
Calculated density: 7.04 g/cm3

Entry 11:
First-principles (PBEsol) data for MgPb3 after structural relaxation, as listed in the Alexandria database.

Geometry as POSCAR:
```
MgPb3
1.0
6.7706 0.0000 0.0000
-3.3853 5.8636 0.0000
0.0000 0.0000 5.6265
Mg Pb
2 6
Direct
0.3333 0.6667 0.2500
0.6667 0.3333 0.7500
0.1690 0.3381 0.7500
0.1690 0.8310 0.7500
0.3381 0.1690 0.2500
0.6619 0.8310 0.7500
0.8310 0.1690 0.2500
0.8310 0.6619 0.2500
```

Values from the calculation:
Total magnetization: 0.00 μB per formula unit
Calculated density: 9.60 g/cm3
Energy relative to the elements: -15 meV per atom

Entry 12:
First-principles (PBEsol) data for CsK2Na after structural relaxation, as listed in the Alexandria database.

Geometry as POSCAR:
```
CsK2Na
1.0
0.0000 5.1033 5.1033
5.1033 0.0000 5.1033
5.1033 5.1033 0.0000
Cs K Na
1 2 1
Direct
0.0000 0.0000 0.0000
0.2500 0.2500 0.2500
0.7500 0.7500 0.7500
0.5000 0.5000 0.5000
```

Values from the calculation:
Energy above the most stable polymorph in this dataset: 0 meV/atom
Total magnetization: 0.00 μB per formula unit
Calculated density: 1.46 g/cm3
Energy relative to the elements: 29 meV per atom